Record 1
DFT (PBE) results for an optimized crystal structure of HfZrGa.

Unit cell a=4.869 b=4.869 c=2.935 alpha=90.00 beta=90.00 gamma=120.00
Fractional positions:
Hf 0.000 0.000 0.000
Zr 0.333 0.667 0.000
Ga 0.667 0.333 0.500

Results
- total magnetic moment (μB per formula unit) = 0.00
- SG = No. 187
- total energy (eV for the cell shown) = -21.370
- energy of formation from the pure elements (eV per atom) = 0.05
- polymorph energy (0 for the lowest one) (eV per atom) = 0.489

=====

Record 2
DFT (PBE) results for an optimized crystal structure of Hf2ZrGa.

Unit cell a=9.799 b=9.799 c=9.799 alpha=18.82 beta=18.82 gamma=18.82
Fractional positions:
Hf 0.246 0.246 0.246
Hf 0.754 0.754 0.754
Zr 0.000 0.000 0.000
Ga 0.500 0.500 0.500

Results
- total magnetic moment (μB per formula unit) = 0.00
- SG = No. 166
- total energy (eV for the cell shown) = -31.939
- energy of formation from the pure elements (eV per atom) = -0.11
- polymorph energy (0 for the lowest one) (eV per atom) = 0.154

=====

Record 3
DFT (PBE) results for an optimized crystal structure of HfZrGa4.

Unit cell a=3.272 b=3.272 c=10.530 alpha=90.00 beta=90.00 gamma=101.91
Fractional positions:
Hf 0.000 0.000 0.000
Zr 0.500 0.500 0.500
Ga 0.000 0.000 0.322
Ga 0.000 0.000 0.678
Ga 0.500 0.500 0.175
Ga 0.500 0.500 0.825

Results
- total magnetic moment (μB per formula unit) = 0.00
- SG = No. 65
- total energy (eV for the cell shown) = -32.480
- energy of formation from the pure elements (eV per atom) = -0.31
- polymorph energy (0 for the lowest one) (eV per atom) = 0.095

=====

Record 4
DFT (PBE) results for an optimized crystal structure of Hf5ZrGa4.

Unit cell a=8.295 b=8.801 c=5.564 alpha=90.00 beta=90.00 gamma=90.00
Fractional positions:
Hf 0.070 0.076 0.228
Hf 0.070 0.424 0.228
Hf 0.250 0.750 0.968
Hf 0.430 0.076 0.228
Hf 0.430 0.424 0.228
Hf 0.570 0.576 0.772
Hf 0.570 0.924 0.772
Hf 0.750 0.250 0.032
Hf 0.930 0.576 0.772
Hf 0.930 0.924 0.772
Zr 0.250 0.250 0.771
Zr 0.750 0.750 0.229
Ga 0.068 0.750 0.398
Ga 0.250 0.540 0.611
Ga 0.250 0.960 0.611
Ga 0.432 0.750 0.398
Ga 0.568 0.250 0.602
Ga 0.750 0.040 0.389
Ga 0.750 0.460 0.389
Ga 0.932 0.250 0.602

Results
- total magnetic moment (μB per formula unit) = 0.00
- SG = No. 59
- total energy (eV for the cell shown) = -143.354
- energy of formation from the pure elements (eV per atom) = -0.13

=====

Record 5
DFT (PBE) results for an optimized crystal structure of HfZrGa2.

Unit cell a=5.290 b=5.290 c=5.290 alpha=49.53 beta=49.53 gamma=49.53
Fractional positions:
Hf 0.000 0.000 0.000
Zr 0.500 0.500 0.500
Ga 0.253 0.253 0.253
Ga 0.747 0.747 0.747

Results
- total magnetic moment (μB per formula unit) = 0.00
- SG = No. 166
- total energy (eV for the cell shown) = -25.991
- energy of formation from the pure elements (eV per atom) = -0.36
- polymorph energy (0 for the lowest one) (eV per atom) = 0.215

=====

Record 6
DFT (PBE) results for an optimized crystal structure of HfZr2Ga3.

Unit cell a=4.301 b=8.076 c=6.824 alpha=90.00 beta=107.88 gamma=90.00
Fractional positions:
Hf 0.168 0.000 0.335
Hf 0.832 0.000 0.665
Zr 0.167 0.500 0.334
Zr 0.500 0.000 0.000
Zr 0.500 0.500 0.000
Zr 0.833 0.500 0.666
Ga 0.000 0.249 0.000
Ga 0.000 0.751 0.000
Ga 0.333 0.248 0.665
Ga 0.333 0.752 0.665
Ga 0.667 0.248 0.335
Ga 0.667 0.752 0.335

Results
- total magnetic moment (μB per formula unit) = 0.00
- SG = No. 10
- total energy (eV for the cell shown) = -78.004
- energy of formation from the pure elements (eV per atom) = -0.48